(1)
BaCO3: optimized geometry, GGA-PBEsol.

Unit cell a=4.3164 b=4.3164 c=4.3164 alpha=76.35 beta=76.35 gamma=76.35
Positions (direct):
C: 0.5321 0.5321 0.5321
Ba: 0.9747 0.9747 0.9747
O: 0.3947 0.8156 0.3947
O: 0.8156 0.3947 0.3947
O: 0.3947 0.3947 0.8156

Values from the calculation:
energy relative to the elements, uncorrected = -2256 meV/atom
DOS at the Fermi energy = 0.000 states/eV per atom
magnetization = 0.0 μB/f.u.
SG = R3m (160)
DFT total energy = -0.2853 hartree per atom
volume = 14.909 A^3/atom

(2)
Ba2TeCO: optimized geometry, GGA-PBEsol.

Unit cell a=4.4151 b=5.4570 c=5.4570 alpha=90.00 beta=90.00 gamma=90.00
Site moments in Bohr magnetons follow the coordinates.
Positions (direct):
C: 0.5000 0.5000 0.5000  0.82
Te: 0.5000 0.0000 0.0000  0.11
Ba: 0.0000 0.0000 0.5000  0.03
Ba: 0.0000 0.5000 0.0000  0.03
O: 0.0000 0.0000 0.0000  0.01

Values from the calculation:
energy relative to the elements, uncorrected = -177 meV/atom
DOS at the Fermi energy = 0.387 states/eV per atom
magnetization = 2.2 μB/f.u.
SG = P4/mmm (123)
DFT total energy = -0.1735 hartree per atom
volume = 26.295 A^3/atom

(3)
BaOs2CSe: optimized geometry, GGA-PBEsol.

Unit cell a=4.0836 b=4.0836 c=5.6143 alpha=90.00 beta=90.00 gamma=90.00
Positions (direct):
C: 0.0000 0.0000 0.0000
Os: 0.0000 0.5000 0.0000
Os: 0.5000 0.0000 0.0000
Ba: 0.0000 0.0000 0.5000
Se: 0.5000 0.5000 0.5000

Values from the calculation:
energy relative to the elements, uncorrected = 623 meV/atom
DOS at the Fermi energy = 0.788 states/eV per atom
magnetization = 0.0 μB/f.u.
SG = P4/mmm (123)
DFT total energy = -0.2717 hartree per atom
volume = 18.724 A^3/atom

(4)
BaPC2: optimized geometry, GGA-PBEsol.

Unit cell a=5.5065 b=5.5065 c=5.5065 alpha=92.61 beta=118.50 gamma=118.50
Positions (direct):
P: 0.0000 0.5000 0.5000
P: 0.5000 0.2500 0.7500
C: 0.1854 0.8750 0.5604
C: 0.8146 0.3750 0.6896
C: 0.3146 0.4396 0.6250
C: 0.6854 0.3104 0.1250
Ba: 0.0000 0.0000 0.0000
Ba: 0.5000 0.7500 0.2500

Values from the calculation:
DOS at the Fermi energy = 0.216 states/eV per atom
magnetization = 0.0 μB/f.u.
SG = I-42d (122)
DFT total energy = -0.2349 hartree per atom
volume = 15.075 A^3/atom

(5)
BaPCS2: optimized geometry, GGA-PBEsol.

Unit cell a=3.7406 b=4.9953 c=4.9953 alpha=90.00 beta=90.00 gamma=90.00
Positions (direct):
C: 0.0000 0.0000 0.0000
P: 0.5000 0.0000 0.0000
S: 0.0000 0.0000 0.5000
S: 0.0000 0.5000 0.0000
Ba: 0.5000 0.5000 0.5000

Values from the calculation:
energy relative to the elements, uncorrected = 205 meV/atom
DOS at the Fermi energy = 0.413 states/eV per atom
magnetization = 0.0 μB/f.u.
SG = P4/mmm (123)
DFT total energy = -0.1862 hartree per atom
volume = 18.668 A^3/atom

(6)
Ba2ZrPbC: optimized geometry, GGA-PBEsol.

Unit cell a=5.4820 b=6.6516 c=6.6516 alpha=90.00 beta=90.00 gamma=90.00
Site moments in Bohr magnetons follow the coordinates.
Positions (direct):
Pb: 0.0000 0.0000 0.0000  -0.02
C: 0.5000 0.5000 0.5000  0.96
Ba: 0.0000 0.0000 0.5000  0.04
Ba: 0.0000 0.5000 0.0000  0.04
Zr: 0.5000 0.0000 0.0000  0.92

Values from the calculation:
DOS at the Fermi energy = 1.003 states/eV per atom
magnetization = 4.2 μB/f.u.
SG = P4/mmm (123)
DFT total energy = -0.1369 hartree per atom
volume = 48.509 A^3/atom

(7)
BaPdC2: optimized geometry, GGA-PBEsol.

Unit cell a=5.6667 b=5.6667 c=5.6667 alpha=79.66 beta=65.78 gamma=114.22
Positions (direct):
C: 0.1149 0.4899 0.1250
C: 0.8851 0.7601 0.6250
C: 0.3851 0.6250 0.4899
C: 0.6149 0.1250 0.7601
Ba: 0.0000 0.0000 0.0000
Ba: 0.5000 0.2500 0.2500
Pd: 0.0000 0.5000 0.5000
Pd: 0.5000 0.7500 0.7500

Values from the calculation:
DOS at the Fermi energy = 0.614 states/eV per atom
magnetization = 0.0 μB/f.u.
SG = I-42d (122)
DFT total energy = -0.2137 hartree per atom
volume = 17.185 A^3/atom

(8)
BaPtC3: optimized geometry, GGA-PBEsol.

Unit cell a=4.4572 b=4.4572 c=4.4572 alpha=90.00 beta=90.00 gamma=90.00
Positions (direct):
C: 0.0000 0.5000 0.0000
C: 0.0000 0.0000 0.5000
C: 0.5000 0.0000 0.0000
Ba: 0.0000 0.0000 0.0000
Pt: 0.5000 0.5000 0.5000

Values from the calculation:
DOS at the Fermi energy = 0.486 states/eV per atom
magnetization = 0.0 μB/f.u.
SG = Pm-3m (221)
DFT total energy = -0.1309 hartree per atom
volume = 17.710 A^3/atom

- volume of number 2 (Ba2TeCO)?
  26.295 A^3/atom

- What is the DOS at the Fermi energy in the second record?
  0.387 states/eV per atom

- Look up the DFT total energy of the fourth one.
  -0.2349 hartree per atom

What did the sixth record say?
Ba2ZrPbC: optimized geometry, GGA-PBEsol.

Unit cell a=5.4820 b=6.6516 c=6.6516 alpha=90.00 beta=90.00 gamma=90.00
Site moments in Bohr magnetons follow the coordinates.
Positions (direct):
Pb: 0.0000 0.0000 0.0000  -0.02
C: 0.5000 0.5000 0.5000  0.96
Ba: 0.0000 0.0000 0.5000  0.04
Ba: 0.0000 0.5000 0.0000  0.04
Zr: 0.5000 0.0000 0.0000  0.92

Values from the calculation:
DOS at the Fermi energy = 1.003 states/eV per atom
magnetization = 4.2 μB/f.u.
SG = P4/mmm (123)
DFT total energy = -0.1369 hartree per atom
volume = 48.509 A^3/atom